VASP calculation (GGA-PBE) on crystalline LaInP4 at its relaxed geometry.

abc: 5.5223 5.5223 5.5223
angles: 60.00 60.00 60.00
With the nearest neighbours (Å) after each atom.
Fractional coordinates of all 6 atoms:
1 P 0.3899 0.3899 0.8302  3 P 2.43
2 P 0.3899 0.3899 0.3899  3 P 2.43
3 In 0.7500 0.7500 0.7500  12 P 3.21, 4 La 3.38
4 La 0.0000 0.0000 0.0000  12 P 3.28, 4 In 3.38
5 P 0.3899 0.8302 0.3899  3 P 2.43
6 P 0.8302 0.3899 0.3899  3 P 2.43

Its space group is F-43m, No. 216. The value obtained for the formation energy is -0.9 eV per formula unit.